1.
TaCdSn2 | PBE-GGA | optimized geometry

Properties
* uncorrected energy: -4.752 eV/atom
* E_form: 170 kJ/mol of formula units
* Fermi-level density of states: 7.116 states/eV per cell
* spin magnetization: 0.00 Bohr magnetons per cell

abc: 3.0513 3.0513 36.4003
angles: 90.00 90.00 120.00
Space group R-3m (No. 166, hexagonal axes)
Unique sites:
Ta  0.0000  0.0000  0.0000 [3 per cell]
Cd  0.0000  0.0000  0.5000 [3 per cell]
Sn  0.0000  0.0000  0.0805 [6 per cell]


2.
CaAcTe2 | PBE-GGA | optimized geometry

Properties
* uncorrected energy: -4.017 eV/atom
* Fermi-level density of states: 11.901 states/eV per cell
* formation energy from raw total energies: -0.92 eV per atom
* spin magnetization: 0.00 Bohr magnetons per cell

abc: 4.5638 4.5638 29.4664
angles: 90.00 90.00 120.00
Space group R-3m (No. 166, hexagonal axes)
Unique sites:
Ca  0.0000  0.0000  0.0000 [3 per cell]
Ac  0.0000  0.0000  0.5000 [3 per cell]
Te  0.0000  0.0000  0.3936 [6 per cell]


3.
NaLuInPd | PBE-GGA | optimized geometry

Properties
* uncorrected energy: -3.819 eV/atom
* E_form: -145 kJ/mol of formula units
* Fermi-level density of states: 16.752 states/eV per cell
* spin magnetization: 0.00 Bohr magnetons per cell

abc: 6.9186 6.9186 6.9186
angles: 90.00 90.00 90.00
Space group F-43m (No. 216)
Unique sites:
Na  0.0000  0.0000  0.0000 [4 per cell]
Lu  0.2500  0.2500  0.7500 [4 per cell]
In  0.2500  0.2500  0.2500 [4 per cell]
Pd  0.0000  0.0000  0.5000 [4 per cell]


4.
HfMoRuPb2 | PBE-GGA | optimized geometry

Properties
* uncorrected energy: -6.343 eV/atom
* E_form: 556 kJ/mol of formula units
* Fermi-level density of states: 6.005 states/eV per cell
* spin magnetization: 1.09 Bohr magnetons per cell

abc: 5.1531 5.1531 4.7237
angles: 90.00 90.00 90.00
Space group P4/mmm (No. 123)
Unique sites:
Hf  0.0000  0.0000  0.0000 [1 per cell]
Mo  0.5000  0.5000  0.0000 [1 per cell]
Ru  0.5000  0.5000  0.5000 [1 per cell]
Pb  0.0000  0.5000  0.5000 [2 per cell]


5.
RbTcAs2Se | PBE-GGA | optimized geometry

Properties
* uncorrected energy: -4.816 eV/atom
* Fermi-level density of states: 5.543 states/eV per cell
* formation energy from raw total energies: 0.01 eV per atom
* spin magnetization: 0.77 Bohr magnetons per cell

abc: 4.8035 4.8035 5.6315
angles: 90.00 90.00 90.00
Space group P4/mmm (No. 123)
Unique sites:
Rb  0.0000  0.0000  0.0000 [1 per cell]
Tc  0.5000  0.5000  0.5000 [1 per cell]
As  0.0000  0.5000  0.5000 [2 per cell]
Se  0.5000  0.5000  0.0000 [1 per cell]


6.
LiPSe2 | PBE-GGA | optimized geometry

Properties
* uncorrected energy: -3.959 eV/atom
* formation energy from raw total energies: -0.39 eV per atom
* spin magnetization: 0.00 Bohr magnetons per cell

abc: 3.7447 3.7447 19.1776
angles: 90.00 90.00 120.00
Space group R-3m (No. 166, hexagonal axes)
Unique sites:
Li  0.0000  0.0000  0.0000 [3 per cell]
P  0.0000  0.0000  0.5000 [3 per cell]
Se  0.0000  0.0000  0.2434 [6 per cell]


7.
Zn2CdSe | PBE-GGA | optimized geometry

Properties
* uncorrected energy: -1.799 eV/atom
* Fermi-level density of states: 0.835 states/eV per cell
* formation energy from raw total energies: -0.06 eV per atom
* spin magnetization: 0.00 Bohr magnetons per cell

abc: 6.6380 6.6380 8.9915
angles: 90.00 90.00 90.00
Space group I-42d (No. 122)
Unique sites:
Zn  0.2237  0.2500  0.1250 [8 per cell]
Cd  0.0000  0.0000  0.5000 [4 per cell]
Se  0.0000  0.0000  0.0000 [4 per cell]


8.
PrPuNi2 | PBE-GGA | optimized geometry

Properties
* uncorrected energy: -7.756 eV/atom
* E_form: -34 kJ/mol of formula units
* Fermi-level density of states: 22.151 states/eV per cell
* spin magnetization: 10.37 Bohr magnetons per cell

abc: 7.8026 4.4910 5.4714
angles: 90.00 118.36 90.00
Space group C2/m (No. 12)
Unique sites:
Pr  0.0000  0.0000  0.0000 [2 per cell]
Pu  0.0000  0.5000  0.5000 [2 per cell]
Ni  0.2193  0.0000  0.6572 [4 per cell]


9.
Na2MgCuSb2 | PBE-GGA | optimized geometry

Properties
* uncorrected energy: -3.087 eV/atom
* Fermi-level density of states: 8.355 states/eV per cell
* formation energy from raw total energies: -0.33 eV per atom
* spin magnetization: 0.00 Bohr magnetons per cell

abc: 6.1284 15.4705 6.3226
angles: 90.00 90.00 90.00
Space group Ibam (No. 72)
Unique sites:
Na  0.2363  0.1780  0.0000 [8 per cell]
Mg  0.0000  0.0000  0.2500 [4 per cell]
Cu  0.0000  0.5000  0.2500 [4 per cell]
Sb  0.2237  0.3889  0.0000 [8 per cell]


10.
Si7Mo6 | PBE-GGA | optimized geometry

Properties
* uncorrected energy: -7.928 eV/atom
* Fermi-level density of states: 31.420 states/eV per cell
* formation energy from raw total energies: -0.01 eV per atom
* spin magnetization: 0.00 Bohr magnetons per cell

abc: 4.8617 4.8617 26.5773
angles: 90.00 90.00 120.00
Space group R-3m (No. 166, hexagonal axes)
Unique sites:
Si  0.0000  0.0000  0.0000 [3 per cell]
Si  0.0014  0.5007  0.4131 [18 per cell]
Mo  0.0000  0.0000  0.1678 [6 per cell]
Mo  0.0000  0.0000  0.3360 [6 per cell]
Mo  0.0000  0.0000  0.4514 [6 per cell]


11.
Pm3ErTc | PBE-GGA | optimized geometry

Properties
* uncorrected energy: -5.622 eV/atom
* E_form: 103 kJ/mol of formula units
* Fermi-level density of states: 7.012 states/eV per cell
* spin magnetization: 0.00 Bohr magnetons per cell

abc: 5.4730 5.4730 5.4730
angles: 90.00 90.00 90.00
Space group Pm-3m (No. 221)
Unique sites:
Pm  0.0000  0.0000  0.5000 [3 per cell]
Er  0.5000  0.5000  0.5000 [1 per cell]
Tc  0.0000  0.0000  0.0000 [1 per cell]


12.
ReSiP2Ir | PBE-GGA | optimized geometry

Properties
* uncorrected energy: -6.429 eV/atom
* Fermi-level density of states: 3.018 states/eV per cell
* formation energy from raw total energies: 1.08 eV per atom
* spin magnetization: 0.00 Bohr magnetons per cell

abc: 4.5107 4.5107 4.6823
angles: 90.00 90.00 90.00
Space group P4/mmm (No. 123)
Unique sites:
Re  0.0000  0.0000  0.0000 [1 per cell]
Si  0.0000  0.0000  0.5000 [1 per cell]
P  0.0000  0.5000  0.0000 [2 per cell]
Ir  0.5000  0.5000  0.5000 [1 per cell]


Question: Look up the spin magnetization of the fifth one.
Answer: 0.77 Bohr magnetons per cell